Compound: Cu3Si
Source: Alexandria
Functional: PBEsol
Structure: optimized geometry

Values from the calculation:
**Formation energy from raw total energies**: -0.2 eV per formula unit

```
data_Cu3Si
_space_group_name_H-M_alt 'P m -3 n'
_space_group_IT_number 223
_space_group_name_Hall '-P 4n 2 3'
_cell_length_a 4.536
_cell_length_b 4.536
_cell_length_c 4.536
_cell_angle_alpha 90.00
_cell_angle_beta 90.00
_cell_angle_gamma 90.00
loop_
_atom_site_label
_atom_site_fract_x
_atom_site_fract_y
_atom_site_fract_z
Cu1 0.000 0.250 0.500
Si1 0.000 0.000 0.000
```

Compound: LaYSbF2
Source: Alexandria
Functional: PBEsol
Structure: optimized geometry

Values from the calculation:
**Formation energy from raw total energies**: -11.5 eV per formula unit

```
data_LaYSbF2
_space_group_name_H-M_alt 'P 4/m m m'
_space_group_IT_number 123
_space_group_name_Hall '-P 4 2'
_cell_length_a 4.489
_cell_length_b 4.489
_cell_length_c 6.798
_cell_angle_alpha 90.00
_cell_angle_beta 90.00
_cell_angle_gamma 90.00
loop_
_atom_site_label
_atom_site_fract_x
_atom_site_fract_y
_atom_site_fract_z
La1 0.000 0.000 0.000
Y1 0.500 0.500 0.500
Sb1 0.000 0.000 0.500
F1 0.000 0.500 0.000
```

Compound: Zn2WBr
Source: Alexandria
Functional: PBEsol
Structure: optimized geometry

Values from the calculation:
**Formation energy from raw total energies**: 1.9 eV per formula unit

```
data_Zn2WBr
_space_group_name_H-M_alt 'P m m 2'
_space_group_IT_number 25
_cell_length_a 2.964
_cell_length_b 4.455
_cell_length_c 4.826
_cell_angle_alpha 90.00
_cell_angle_beta 90.00
_cell_angle_gamma 90.00
loop_
_space_group_symop_operation_xyz
'x,y,z'
'-x,-y,z'
'-x,y,z'
'x,-y,z'
loop_
_atom_site_label
_atom_site_fract_x
_atom_site_fract_y
_atom_site_fract_z
Zn1 0.000 0.000 0.000
Zn2 0.000 0.500 0.294
W1 0.500 0.500 0.802
Br1 0.500 0.000 0.523
```

Compound: BaYCo
Source: Alexandria
Functional: PBEsol
Structure: optimized geometry

Values from the calculation:
**E_form**: 0.950 eV/atom

```
data_BaYCo
_space_group_name_H-M_alt 'F -4 3 m'
_space_group_IT_number 216
_space_group_name_Hall 'F -4 2 3'
_cell_length_a 6.808
_cell_length_b 6.808
_cell_length_c 6.808
_cell_angle_alpha 90.00
_cell_angle_beta 90.00
_cell_angle_gamma 90.00
loop_
_atom_site_label
_atom_site_fract_x
_atom_site_fract_y
_atom_site_fract_z
Ba1 0.000 0.000 0.000
Y1 0.250 0.250 0.750
Co1 0.000 0.000 0.500
```

Let's list total energy in order: -4.739, -6.422, -4.231, -4.620 eV per atom.